{
  "formula": "LaZnTe2",
  "functional": "PBE",
  "state": "relaxed",
  "lattice": [[-0.591, -6.933, 3.587], [7.708, 0.051, 1.370], [2.933, -1.602, 5.929]],
  "species": ["Zn", "Zn", "La", "La", "Te", "Te", "Te", "Te"],
  "frac_coords": [[0.500, 0.500, 0.000], [0.250, 0.750, 0.500], [0.750, 0.250, 0.500], [0.000, 0.000, 0.000], [0.570, 0.125, 0.250], [0.180, 0.625, 0.250], [0.375, 0.430, 0.750], [0.875, 0.820, 0.750]],
  "dos_ef_per_ev_cell": 3.95,
  "formation_energy_uncorrected_ev_per_fu": -3.03
}